VASP calculation (SCAN) on Sc2MoBr at its PBEsol-relaxed geometry.

a b c (Å): 3.2500 3.3702 7.8013
angles (deg): 90.18 90.00 90.00
Positions (direct):
Br  0.5000  0.0000  0.5000
Mo  0.5000  0.5000  0.0000
Sc  0.0000  0.9989  0.7970
Sc  0.0000  0.0011  0.2030

Summary:
The value obtained for the formation energy from raw total energies is -39.1 kJ/mol of atoms. The total energy comes out at -21.1099 eV/atom. The space group is No. 10. The polymorph energy (0 for the lowest one) comes out at 0.0 meV per atom.